1.
Below is crystalline Nd5SmY2Tm at its relaxed geometry, with properties calculated at the PBE level.

Cell: 5.6782 20.4867 10.7507 Å, 90.00 90.00 90.00°
Closest atoms and distances in Å follow each position.
Space group Cmc2_1 (No. 36)
Symmetry-distinct sites (fractional):
Nd (0.0000, 0.0170, 0.0000) (multiplicity 4)  2 Tm 3.28, 3 Y 3.51-3.59
Nd (0.0000, 0.2815, 0.2892) (multiplicity 4)  1 Tm 3.08, 1 Y 3.39, 2 Nd 3.45
Nd (0.0000, 0.2962, 0.6831) (multiplicity 4)  3 Nd 3.45-3.82, 1 Tm 3.46, 3 Sm 3.52-3.82, 3 Y 3.57-3.82
Nd (0.0000, 0.3904, 0.0033) (multiplicity 4)  6 Nd 3.53-3.95, 4 Y 3.62-3.66, 1 Sm 3.88
Nd (0.0000, 0.4814, 0.7241) (multiplicity 4)  2 Tm 3.25-3.37, 2 Nd 3.53-3.54, 2 Y 3.55
Sm (0.0000, 0.2012, 0.9890) (multiplicity 4)  2 Y 3.46-3.72, 7 Nd 3.52-3.82, 2 Tm 3.66
Y (0.0000, 0.1107, 0.7176) (multiplicity 4)  1 Sm 3.46, 7 Nd 3.51-3.82, 2 Tm 3.75
Y (0.0000, 0.1159, 0.2943) (multiplicity 4)  9 Nd 3.39-3.76, 1 Sm 3.72
Tm (0.0000, 0.4087, 0.4427) (multiplicity 4)  5 Nd 3.08-3.37

The value obtained for the theoretical density is 6471 kg/m³. The formation enthalpy at 0 K is 1.25 eV per formula unit.



2.
Below is crystalline Tb6Pm2Dy3Sc at its relaxed geometry, with properties calculated at the PBE level.

Cell: 6.1399 10.6294 11.7700 Å, 90.00 99.97 90.00°
Closest atoms and distances in Å follow each position.
Space group C2/m (No. 12)
Symmetry-distinct sites (fractional):
Tb (0.2473, 0.0000, 0.2496) (multiplicity 4)  6 Tb 3.51-3.56, 3 Dy 3.54-3.55, 1 Sc 3.54, 2 Pm 3.55
Tb (0.2481, 0.1651, 0.7498) (multiplicity 8)  6 Tb 3.51-3.56, 1 Sc 3.54, 3 Dy 3.54-3.56, 2 Pm 3.55
Pm (0.0000, 0.3336, 0.5000) (multiplicity 4)  3 Pm 3.54-3.55, 3 Sc 3.54-3.55, 6 Tb 3.55
Dy (0.0000, 0.1663, 0.0000) (multiplicity 4)  6 Dy 3.53-3.55, 6 Tb 3.54-3.56
Dy (0.0000, 0.5000, 0.0000) (multiplicity 2)  6 Dy 3.54-3.55, 6 Tb 3.54-3.55
Sc (0.0000, 0.0000, 0.5000) (multiplicity 2)  6 Tb 3.54, 6 Pm 3.54-3.55

The value obtained for the theoretical density is 7796 kg/m³. The formation enthalpy at 0 K is 0.28 eV per formula unit.



3.
Below is crystalline ZrAlBr2 at its relaxed geometry, with properties calculated at the PBE level.

Cell: 3.4580 6.0695 10.2351 Å, 90.00 90.00 90.00°
Closest atoms and distances in Å follow each position.
Space group Cmm2 (No. 35)
Symmetry-distinct sites (fractional):
Zr (0.0000, 0.0000, 0.0000) (multiplicity 2)  2 Br 2.71, 2 Al 2.86
Al (0.0000, 0.5000, 0.7769) (multiplicity 2)  2 Br 2.56, 2 Zr 2.86
Br (0.0000, 0.0000, 0.5919) (multiplicity 2)  2 Al 2.56
Br (0.0000, 0.5000, 0.2040) (multiplicity 2)  2 Zr 2.71

For the uncorrected formation energy, the calculation gives -0.515 eV per atom. The value obtained for the theoretical density is 4298 kg/m³.



4.
Below is crystalline HoScTl2 at its relaxed geometry, with properties calculated at the PBE level.

Cell: 4.8726 4.8726 4.2521 Å, 90.00 90.00 90.00°
Closest atoms and distances in Å follow each position.
Space group P4/mmm (No. 123)
Symmetry-distinct sites (fractional):
Ho (0.0000, 0.0000, 0.0000) (multiplicity 1)  8 Tl 3.23, 4 Sc 3.45
Sc (0.5000, 0.5000, 0.0000) (multiplicity 1)  8 Tl 3.23, 4 Ho 3.45
Tl (0.0000, 0.5000, 0.5000) (multiplicity 2)  4 Ho 3.23, 4 Sc 3.23, 4 Tl 3.45

The value obtained for the theoretical density is 10176 kg/m³. The formation enthalpy at 0 K is -1.11 eV per formula unit.



5.
Below is crystalline La2SmPu at its relaxed geometry, with properties calculated at the PBE level.

Cell: 3.5388 3.5388 37.6760 Å, 90.00 90.00 120.00°
Closest atoms and distances in Å follow each position.
Space group R-3m (No. 166, hexagonal axes)
Symmetry-distinct sites (fractional):
La (0.0000, 0.0000, 0.0860) (multiplicity 6)  1 Pu 3.24, 6 La 3.54
Sm (0.0000, 0.0000, 0.5000) (multiplicity 3)  6 Sm 3.54, 6 La 3.66
Pu (0.0000, 0.0000, 0.0000) (multiplicity 3)  2 La 3.24, 6 Pu 3.54

The value obtained for the theoretical density is 8195 kg/m³. The formation enthalpy at 0 K is 1.03 eV per formula unit.



6.
Below is crystalline K4BeZn at its relaxed geometry, with properties calculated at the PBE level.

Cell: 10.8193 10.8193 10.8193 Å, 90.00 90.00 90.00°
Closest atoms and distances in Å follow each position.
Space group F-43m (No. 216)
Symmetry-distinct sites (fractional):
K (0.1253, 0.1253, 0.1253) (multiplicity 16)  6 K 3.81-3.84
Be (0.0000, 0.0000, 0.5000) (multiplicity 4)  12 K 4.48, 4 Zn 4.68
Zn (0.2500, 0.2500, 0.7500) (multiplicity 4)  12 K 4.49, 4 Be 4.68

The value obtained for the theoretical density is 1211 kg/m³. The formation enthalpy at 0 K is 4.61 eV per formula unit.



7.
Below is crystalline PmAgBiPd at its relaxed geometry, with properties calculated at the PBE level.

Cell: 7.1599 7.1599 7.1599 Å, 90.00 90.00 90.00°
Closest atoms and distances in Å follow each position.
Space group F-43m (No. 216)
Symmetry-distinct sites (fractional):
Pm (0.0000, 0.0000, 0.0000) (multiplicity 4)  4 Ag 3.10, 4 Pd 3.10
Ag (0.2500, 0.2500, 0.2500) (multiplicity 4)  4 Bi 3.10, 4 Pm 3.10
Bi (0.0000, 0.0000, 0.5000) (multiplicity 4)  4 Pd 3.10, 4 Ag 3.10
Pd (0.2500, 0.2500, 0.7500) (multiplicity 4)  4 Bi 3.10, 4 Pm 3.10

The value obtained for the theoretical density is 10284 kg/m³. The formation enthalpy at 0 K is -1.99 eV per formula unit.



8.
Below is crystalline AgSbOs2 at its relaxed geometry, with properties calculated at the PBE level.

Cell: 3.0170 3.0170 26.0137 Å, 90.00 90.00 120.00°
Closest atoms and distances in Å follow each position.
Space group R-3m (No. 166, hexagonal axes)
Symmetry-distinct sites (fractional):
Ag (0.0000, 0.0000, 0.0000) (multiplicity 3)  6 Os 2.90, 6 Ag 3.02
Sb (0.0000, 0.0000, 0.5000) (multiplicity 3)  6 Os 2.67
Os (0.0000, 0.0000, 0.2443) (multiplicity 6)  3 Sb 2.67, 3 Ag 2.90

For the uncorrected formation energy, the calculation gives 0.810 eV per atom. The value obtained for the theoretical density is 14822 kg/m³.



9.
Below is crystalline RbSi2PN at its relaxed geometry, with properties calculated at the PBE level.

Cell: 5.4903 5.4903 3.3633 Å, 90.00 90.00 90.00°
Closest atoms and distances in Å follow each position.
Space group P4/mmm (No. 123)
Symmetry-distinct sites (fractional):
Rb (0.0000, 0.0000, 0.0000) (multiplicity 1)  8 Si 3.22, 2 Rb 3.36
Si (0.0000, 0.5000, 0.5000) (multiplicity 2)  2 P 2.75
P (0.5000, 0.5000, 0.5000) (multiplicity 1)  2 N 1.68
N (0.5000, 0.5000, 0.0000) (multiplicity 1)  2 P 1.68

For the uncorrected formation energy, the calculation gives 1.051 eV per atom. The value obtained for the theoretical density is 3057 kg/m³.



no.,DFT total energy (eV for the cell shown)
1,-178.8
2,-114.3
3,-35.4
4,-16.8
5,-83.6
6,-19.1
7,-74.7
8,-78.6
9,-20.3